Here is Pm3Mg2NpN6 after structural relaxation from Alexandria. Energies are from PBE.

Properties
Total energy ... -7.820 eV per atom
E_form (uncorrected) ... -1125 meV/atom

```
data_Pm3Mg2NpN6
_chemical_formula_sum 'Pm6 Mg4 Np2 N12'
_space_group_name_H-M_alt 'C 1 2/m 1'
_space_group_IT_number 12
_cell_length_a 5.927
_cell_length_b 10.338
_cell_length_c 5.971
_cell_angle_alpha 90.00
_cell_angle_beta 108.75
_cell_angle_gamma 90.00
loop_
_space_group_symop_operation_xyz
'x,y,z'
'-x,-y,-z'
'-x,y,-z'
'x,-y,z'
'x+1/2,y+1/2,z'
'-x+1/2,-y+1/2,-z'
'-x+1/2,y+1/2,-z'
'x+1/2,-y+1/2,z'
loop_
_atom_site_label
_atom_site_type_symbol
_atom_site_fract_x
_atom_site_fract_y
_atom_site_fract_z
Pm1 Pm 0.000 0.000 0.000
Pm2 Pm 0.000 0.328 0.000
Mg1 Mg 0.000 0.167 0.500
Np1 Np 0.000 0.500 0.500
N1 N 0.230 0.500 0.270
N2 N 0.234 0.344 0.730
```

Here is SrSc4Mn after structural relaxation from Alexandria. Energies are from PBE.

Properties
Energy relative to the elements ... 0.523 eV/atom
Total energy ... -5.506 eV per atom

```
data_SrSc4Mn
_chemical_formula_sum 'Sr4 Sc16 Mn4'
_space_group_name_H-M_alt 'F -4 3 m'
_space_group_IT_number 216
_space_group_name_Hall 'F -4 2 3'
_cell_length_a 8.715
_cell_length_b 8.715
_cell_length_c 8.715
_cell_angle_alpha 90.00
_cell_angle_beta 90.00
_cell_angle_gamma 90.00
loop_
_atom_site_label
_atom_site_type_symbol
_atom_site_fract_x
_atom_site_fract_y
_atom_site_fract_z
Sr1 Sr 0.000 0.000 0.000
Sc1 Sc 0.123 0.123 0.377
Mn1 Mn 0.250 0.250 0.750
```

Calculated density
In order: 7.7; 3.2
Unit: g/cm3